This record from the Alexandria database describes ScIn2W after structural relaxation. The functional is PBE-GGA.

Properties
E above lowest polymorph = 0.53 eV per formula unit
Density of states at the Fermi level = 0.79 states/eV per atom
V = 82 Å³ per cell
ρ = 9.3 g/cm3

a b c (Å): 5.4611 5.4611 5.2593
angles (deg): 81.58 81.58 31.79
Fractional coordinates of all 4 atoms:
Sc  0.4872  0.4872  0.5136
W  0.7558  0.7558  0.7425
In  0.0109  0.0109  0.9925
In  0.2461  0.2461  0.2515